--- P ---
# PBE+U BaV3O8, relaxed
# theoretical density	4.064	g cm⁻³
data_BaV3O8
_cell_length_a 5.1497
_cell_length_b 5.1497
_cell_length_c 22.3192
_cell_angle_alpha 90.00
_cell_angle_beta 90.00
_cell_angle_gamma 120.00
_space_group_name_H-M_alt 'R -3'
_space_group_IT_number 148
_space_group_name_Hall '-R 3'
loop_
_atom_site_label
_atom_site_type_symbol
_atom_site_fract_x
_atom_site_fract_y
_atom_site_fract_z
Ba1 Ba 0.0000 0.0000 0.0000
V1 V 0.0000 0.0000 0.2376
V2 V 0.0000 0.0000 0.5000
O1 O 0.0000 0.0000 0.3136
O2 O 0.0128 0.3688 0.1161

---

--- Q ---
# PBE+U BaV3O8, relaxed
# density of states at the Fermi level	0.00	states/eV/f.u.
# theoretical density	4.052	g cm⁻³
data_BaV3O8
_cell_length_a 7.6054
_cell_length_b 5.6373
_cell_length_c 8.3757
_cell_angle_alpha 90.00
_cell_angle_beta 107.39
_cell_angle_gamma 90.00
_space_group_name_H-M_alt 'P 1 21/m 1'
_space_group_IT_number 11
_space_group_name_Hall '-P 2yb'
loop_
_atom_site_label
_atom_site_type_symbol
_atom_site_fract_x
_atom_site_fract_y
_atom_site_fract_z
Ba1 Ba 0.2114 0.2500 0.4015
V1 V 0.0681 0.2500 0.8632
V2 V 0.2945 0.7500 0.7235
V3 V 0.4159 0.7500 0.1827
O1 O 0.1307 0.5021 0.7738
O2 O 0.1644 0.2500 0.0693
O3 O 0.1728 0.7500 0.5183
O4 O 0.1838 0.7500 0.1905
O5 O 0.4281 0.7500 0.9860
O6 O 0.4749 0.0031 0.7009

---

Referenced to the most stable arrangement, the calculated values in kJ/mol of atoms are P 5.0; Q 0.0.

---

--- P ---
# PBE+U BaV2O2, relaxed
# density of states at the Fermi level	1.41	states/eV/f.u.
# theoretical density	5.320	g cm⁻³
data_BaV2O2
_cell_length_a 7.3300
_cell_length_b 7.3300
_cell_length_c 3.1510
_cell_angle_alpha 90.00
_cell_angle_beta 90.00
_cell_angle_gamma 90.00
_space_group_name_H-M_alt 'P 4/m b m'
_space_group_IT_number 127
_space_group_name_Hall '-P 4 2ab'
loop_
_atom_site_label
_atom_site_type_symbol
_atom_site_fract_x
_atom_site_fract_y
_atom_site_fract_z
Ba1 Ba 0.0000 0.0000 0.0000
V1 V 0.1123 0.3877 0.5000
O1 O 0.1242 0.6242 0.0000

---

--- Q ---
# PBE+U BaV2O2, relaxed
# density of states at the Fermi level	1.00	states/eV/f.u.
# theoretical density	6.188	g cm⁻³
data_BaV2O2
_cell_length_a 3.4624
_cell_length_b 3.4624
_cell_length_c 12.1411
_cell_angle_alpha 90.00
_cell_angle_beta 90.00
_cell_angle_gamma 90.00
_space_group_name_H-M_alt 'I 4/m m m'
_space_group_IT_number 139
_space_group_name_Hall '-I 4 2'
loop_
_atom_site_label
_atom_site_type_symbol
_atom_site_fract_x
_atom_site_fract_y
_atom_site_fract_z
Ba1 Ba 0.0000 0.0000 0.0000
V1 V 0.0000 0.5000 0.2500
O1 O 0.0000 0.0000 0.3626

---

Referenced to the most stable arrangement, the calculated values in kJ/mol of atoms are P 45.5; Q 0.0.

---

--- P ---
# PBE+U BaV4O8, relaxed
# theoretical density	3.940	g cm⁻³
data_BaV4O8
_cell_length_a 10.1470
_cell_length_b 6.1154
_cell_length_c 8.0802
_cell_angle_alpha 90.00
_cell_angle_beta 127.94
_cell_angle_gamma 90.00
_space_group_name_H-M_alt 'C 1 2/m 1'
_space_group_IT_number 12
_space_group_name_Hall '-C 2y'
loop_
_atom_site_label
_atom_site_type_symbol
_atom_site_fract_x
_atom_site_fract_y
_atom_site_fract_z
Ba1 Ba 0.0000 0.0000 0.0000
V1 V 0.0000 0.2493 0.5000
V2 V 0.2370 0.5000 0.4688
O1 O 0.0800 0.2399 0.3371
O2 O 0.1574 0.0000 0.6677
O3 O 0.1620 0.5000 0.6533

---

--- Q ---
# PBE+U BaV4O8, relaxed
# density of states at the Fermi level	6.56	states/eV/f.u.
# theoretical density	3.351	g cm⁻³
data_BaV4O8
_cell_length_a 5.6860
_cell_length_b 5.6860
_cell_length_c 8.3026
_cell_angle_alpha 90.00
_cell_angle_beta 90.00
_cell_angle_gamma 120.00
_space_group_name_H-M_alt 'P -3 1 m'
_space_group_IT_number 162
_space_group_name_Hall '-P 3 2'
loop_
_atom_site_label
_atom_site_type_symbol
_atom_site_fract_x
_atom_site_fract_y
_atom_site_fract_z
Ba1 Ba 0.0000 0.0000 0.0000
V1 V 0.3333 0.6667 0.2249
O1 O 0.0000 0.3634 0.2712
O2 O 0.3333 0.6667 0.0000

---

Referenced to the most stable arrangement, the calculated values in kJ/mol of atoms are P 0.0; Q 22.6.

---

--- P ---
# PBE+U BaWO2, relaxed
# density of states at the Fermi level	0.98	states/eV/f.u.
# theoretical density	7.501	g cm⁻³
data_BaWO2
_cell_length_a 4.9830
_cell_length_b 4.9830
_cell_length_c 12.5945
_cell_angle_alpha 90.00
_cell_angle_beta 90.00
_cell_angle_gamma 90.00
_space_group_name_H-M_alt 'I -4 2 d'
_space_group_IT_number 122
_space_group_name_Hall 'I -4 2bw'
loop_
_atom_site_label
_atom_site_type_symbol
_atom_site_fract_x
_atom_site_fract_y
_atom_site_fract_z
Ba1 Ba 0.0000 0.0000 0.0000
W1 W 0.0000 0.0000 0.5000
O1 O 0.1001 0.2500 0.6250

---

--- Q ---
# PBE+U BaWO2, relaxed
# density of states at the Fermi level	0.00	states/eV/f.u.
# theoretical density	9.578	g cm⁻³
data_BaWO2
_cell_length_a 6.2566
_cell_length_b 6.2566
_cell_length_c 6.2566
_cell_angle_alpha 90.00
_cell_angle_beta 90.00
_cell_angle_gamma 90.00
_space_group_name_H-M_alt 'F m -3 m'
_space_group_IT_number 225
_space_group_name_Hall '-F 4 2 3'
loop_
_atom_site_label
_atom_site_type_symbol
_atom_site_fract_x
_atom_site_fract_y
_atom_site_fract_z
Ba1 Ba 0.0000 0.0000 0.0000
W1 W 0.0000 0.0000 0.5000
O1 O 0.2500 0.2500 0.2500

---

--- R ---
# PBE+U BaWO2, relaxed
# density of states at the Fermi level	0.60	states/eV/f.u.
# theoretical density	7.775	g cm⁻³
data_BaWO2
_cell_length_a 6.8441
_cell_length_b 6.8441
_cell_length_c 12.8828
_cell_angle_alpha 90.00
_cell_angle_beta 90.00
_cell_angle_gamma 90.00
_space_group_name_H-M_alt 'I 41/a m d'
_space_group_IT_number 141
loop_
_space_group_symop_operation_xyz
'x,y,z'
'-x,-y,-z'
'-y+1/4,x+3/4,z+1/4'
'y+1/4,-x+3/4,-z+1/4'
'-x+1/2,-y,z+1/2'
'x+1/2,y,-z+1/2'
'y+1/4,-x+1/4,z+3/4'
'-y+1/4,x+1/4,-z+3/4'
'x,-y,-z'
'-x,y,z'
'-y+1/4,-x+1/4,-z+3/4'
'y+1/4,x+1/4,z+3/4'
'-x+1/2,y,-z+1/2'
'x+1/2,-y,z+1/2'
'y+1/4,x+3/4,-z+1/4'
'-y+1/4,-x+3/4,z+1/4'
'x+1/2,y+1/2,z+1/2'
'-x+1/2,-y+1/2,-z+1/2'
'-y+3/4,x+1/4,z+3/4'
'y+3/4,-x+1/4,-z+3/4'
'-x,-y+1/2,z'
'x,y+1/2,-z'
'y+3/4,-x+3/4,z+1/4'
'-y+3/4,x+3/4,-z+1/4'
'x+1/2,-y+1/2,-z+1/2'
'-x+1/2,y+1/2,z+1/2'
'-y+3/4,-x+3/4,-z+1/4'
'y+3/4,x+3/4,z+1/4'
'-x,y+1/2,-z'
'x,-y+1/2,z'
'y+3/4,x+1/4,-z+3/4'
'-y+3/4,-x+1/4,z+3/4'
loop_
_atom_site_label
_atom_site_type_symbol
_atom_site_fract_x
_atom_site_fract_y
_atom_site_fract_z
Ba1 Ba 0.0000 0.0000 0.0000
W1 W 0.0000 0.0000 0.5000
O1 O 0.0000 0.0506 0.2161

---

--- S ---
# PBE+U BaWO2, relaxed
# density of states at the Fermi level	0.00	states/eV/f.u.
# theoretical density	6.303	g cm⁻³
data_BaWO2
_cell_length_a 4.1332
_cell_length_b 4.1332
_cell_length_c 18.8656
_cell_angle_alpha 90.00
_cell_angle_beta 90.00
_cell_angle_gamma 120.00
_space_group_name_H-M_alt 'R -3 m'
_space_group_IT_number 166
_space_group_name_Hall '-R 3 2"'
loop_
_atom_site_label
_atom_site_type_symbol
_atom_site_fract_x
_atom_site_fract_y
_atom_site_fract_z
Ba1 Ba 0.0000 0.0000 0.0000
W1 W 0.0000 0.0000 0.5000
O1 O 0.0000 0.0000 0.4001

---

Referenced to the most stable arrangement, the calculated values in kJ/mol of atoms are P 41.6; Q 116.1; R 21.7; S 0.0.

---

--- P ---
# PBE+U BaW6O18, relaxed
# density of states at the Fermi level	1.72	states/eV/f.u.
# theoretical density	7.125	g cm⁻³
data_BaW6O18
_cell_length_a 20.3899
_cell_length_b 7.7649
_cell_length_c 8.9994
_cell_angle_alpha 90.00
_cell_angle_beta 90.03
_cell_angle_gamma 90.00
_space_group_name_H-M_alt 'C 1 2/m 1'
_space_group_IT_number 12
_space_group_name_Hall '-C 2y'
loop_
_atom_site_label
_atom_site_type_symbol
_atom_site_fract_x
_atom_site_fract_y
_atom_site_fract_z
Ba1 Ba 0.1252 0.0000 0.0881
W1 W 0.0318 0.2528 0.7946
W2 W 0.1249 0.2516 0.4351
W3 W 0.2185 0.2503 0.7941
O1 O 0.0000 0.2539 0.0000
O2 O 0.0317 0.5000 0.7897
O3 O 0.0332 0.0000 0.8102
O4 O 0.0580 0.2423 0.2755
O5 O 0.0606 0.2437 0.5897
O6 O 0.1226 0.5000 0.4317
O7 O 0.1251 0.2519 0.8560
O8 O 0.1272 0.0000 0.4221
O9 O 0.1895 0.2511 0.5893
O10 O 0.1916 0.2524 0.2755
O11 O 0.2148 0.0000 0.8018
O12 O 0.2211 0.5000 0.7967
O13 O 0.2500 0.2500 0.0000

---

--- Q ---
# PBE+U BaW6O18, relaxed
# density of states at the Fermi level	3.21	states/eV/f.u.
# theoretical density	6.683	g cm⁻³
data_BaW6O18
_cell_length_a 7.5249
_cell_length_b 7.5249
_cell_length_c 7.7444
_cell_angle_alpha 90.00
_cell_angle_beta 90.00
_cell_angle_gamma 120.00
_space_group_name_H-M_alt 'P 6 m m'
_space_group_IT_number 183
_space_group_name_Hall 'P 6 -2'
loop_
_atom_site_label
_atom_site_type_symbol
_atom_site_fract_x
_atom_site_fract_y
_atom_site_fract_z
Ba1 Ba 0.0000 0.0000 0.0000
W1 W 0.0000 0.5000 0.1407
W2 W 0.0000 0.5000 0.6394
O1 O 0.0000 0.5000 0.3885
O2 O 0.0000 0.5000 0.8904
O3 O 0.2080 0.4161 0.1361
O4 O 0.2121 0.4242 0.6417

---

Referenced to the most stable arrangement, the calculated values in kJ/mol of atoms are P 0.0; Q 1.0.